1.
FeNi6Rh2 after structural relaxation. Source: Alexandria, functional PBE.

The density of states at the Fermi level comes out at 13.74 states/eV/f.u. The value obtained for the energy is -6.324 eV per atom. The formation energy comes out at 0.104 eV per atom. The excess energy over the best structure of this formula in the dataset comes out at 115 meV/atom.

It has space group C2/m (No. 12), with a = 6.785 Å, b = 4.280 Å, c = 7.542 Å, α = 90.00°, β = 97.48° and γ = 90.00°. The asymmetric unit holds Fe at (0.000, 0.000, 0.000), Ni at (0.001, 0.000, 0.321), Ni at (0.168, 0.500, 0.096), Ni at (0.168, 0.500, 0.774) and Rh at (0.171, 0.500, 0.427).

=====

2.
La3SbH3 after structural relaxation. Source: Alexandria, functional PBE.

The density of states at the Fermi level comes out at 6.02 states/eV/f.u. The value obtained for the energy is -4.782 eV per atom. The excess energy over the best structure of this formula in the dataset comes out at 57 meV/atom.

It has space group Pm-3n (No. 223), with a = 6.626 Å, b = 6.626 Å, c = 6.626 Å, α = 90.00°, β = 90.00° and γ = 90.00°. The asymmetric unit holds La at (0.000, 0.250, 0.500), Sb at (0.000, 0.000, 0.000) and H at (0.000, 0.500, 0.250).

=====

3.
LuScTcRh after structural relaxation. Source: Alexandria, functional PBE.

The density of states at the Fermi level comes out at 4.93 states/eV/f.u. The value obtained for the energy is -7.630 eV per atom. The formation energy comes out at -0.487 eV per atom.

It has space group F-43m (No. 216), with a = 6.584 Å, b = 6.584 Å, c = 6.584 Å, α = 90.00°, β = 90.00° and γ = 90.00°. The asymmetric unit holds Lu at (0.000, 0.000, 0.000), Sc at (0.000, 0.000, 0.500), Tc at (0.250, 0.250, 0.250) and Rh at (0.250, 0.250, 0.750).

=====

4.
CrRhICl2 after structural relaxation. Source: Alexandria, functional PBE.

The density of states at the Fermi level comes out at 3.89 states/eV/f.u. The value obtained for the energy is -4.327 eV per atom.

It has space group P4/mmm (No. 123), with a = 4.754 Å, b = 4.754 Å, c = 5.509 Å, α = 90.00°, β = 90.00° and γ = 90.00°. The asymmetric unit holds Cr at (0.000, 0.000, 0.000), Rh at (0.500, 0.500, 0.500), I at (0.500, 0.500, 0.000) and Cl at (0.000, 0.500, 0.500).

=====

5.
CsCa2ReF after structural relaxation. Source: Alexandria, functional PBE.

The density of states at the Fermi level comes out at 4.53 states/eV/f.u. The value obtained for the energy is -3.869 eV per atom.

It has space group P4/mmm (No. 123), with a = 4.878 Å, b = 4.878 Å, c = 5.509 Å, α = 90.00°, β = 90.00° and γ = 90.00°. The asymmetric unit holds Cs at (0.000, 0.000, 0.000), Ca at (0.000, 0.500, 0.500), Re at (0.500, 0.500, 0.000) and F at (0.000, 0.000, 0.500).

=====

6.
Mg7In2Hg2 after structural relaxation. Source: Alexandria, functional PBE.

The density of states at the Fermi level comes out at 4.11 states/eV/f.u. The value obtained for the energy is -1.606 eV per atom. The formation energy comes out at -0.039 eV per atom.

It has space group Cmmm (No. 65), with a = 6.904 Å, b = 10.178 Å, c = 7.828 Å, α = 90.00°, β = 90.00° and γ = 90.00°. The asymmetric unit holds Mg at (0.000, 0.000, 0.000), Mg at (0.000, 0.500, 0.208), Mg at (0.250, 0.250, 0.295), In at (0.215, 0.000, 0.500) and Hg at (0.000, 0.273, 0.000).